# PIrRu2

A relaxed structure of PIrRu2 (GGA-PBEsol, Alexandria).

E = -36.2 eV for the cell shown

a = 2.7961 Å, b = 2.7961 Å, c = 6.6667 Å
α = 90.00°, β = 90.00°, γ = 90.00°
Positions (direct):
P: 0.5000 0.5000 0.7589
Ru: 0.0000 0.0000 0.9639
Ru: 0.5000 0.5000 0.2446
Ir: 0.0000 0.0000 0.5326



# CdNiRu2

A relaxed structure of CdNiRu2 (GGA-PBEsol, Alexandria).

E = -26.1 eV for the cell shown

a = 2.6967 Å, b = 4.6031 Å, c = 4.7457 Å
α = 108.89°, β = 90.00°, γ = 90.00°
Positions (direct):
Ru: 0.5000 0.5000 0.0000
Cd: 0.5000 0.0000 0.5000
Ni: 0.0000 0.5000 0.5000
Ru: 0.0000 0.0000 0.0000



# Tc4POs

A relaxed structure of Tc4POs (GGA-PBEsol, Alexandria).

E = -58.6 eV for the cell shown

a = 4.9900 Å, b = 4.9900 Å, c = 4.9900 Å
α = 60.00°, β = 60.00°, γ = 60.00°
Positions (direct):
P: 0.0000 0.0000 0.0000
Tc: 0.3749 0.3749 0.3749
Tc: 0.8753 0.3749 0.3749
Tc: 0.3749 0.3749 0.8753
Tc: 0.3749 0.8753 0.3749
Os: 0.7500 0.7500 0.7500



# NbSbS2N

A relaxed structure of NbSbS2N (GGA-PBEsol, Alexandria).

E = -28.0 eV for the cell shown
uncorrected formation energy = 0.93 eV per atom

a = 3.8305 Å, b = 4.9576 Å, c = 4.9576 Å
α = 90.00°, β = 90.00°, γ = 90.00°
Positions (direct):
S: 0.0000 0.5000 0.0000
S: 0.0000 0.0000 0.5000
Nb: 0.5000 0.5000 0.5000
Sb: 0.0000 0.0000 0.0000
N: 0.5000 0.0000 0.0000



# Sc3BeBi

A relaxed structure of Sc3BeBi (GGA-PBEsol, Alexandria).

E = -29.1 eV for the cell shown

a = 4.7767 Å, b = 4.7767 Å, c = 4.7767 Å
α = 90.00°, β = 90.00°, γ = 90.00°
Positions (direct):
Sc: 0.0000 0.0000 0.5000
Sc: 0.0000 0.5000 0.0000
Bi: 0.5000 0.5000 0.5000
Be: 0.0000 0.0000 0.0000
Sc: 0.5000 0.0000 0.0000



# Rb2AgI

A relaxed structure of Rb2AgI (GGA-PBEsol, Alexandria).

E = -18.1 eV for the cell shown
uncorrected formation energy = -0.48 eV per atom

a = 9.2291 Å, b = 9.2291 Å, c = 8.0801 Å
α = 124.83°, β = 124.83°, γ = 90.00°
Positions (direct):
I: 0.2500 0.7500 0.5000
Rb: 0.8680 0.3750 0.2500
I: 0.0000 0.0000 0.0000
Rb: 0.1250 0.1320 0.7500
Rb: 0.3820 0.8750 0.2500
Ag: 0.7500 0.2500 0.5000
Rb: 0.6250 0.6180 0.7500
Ag: 0.5000 0.5000 0.0000



# CoSiPb

A relaxed structure of CoSiPb (GGA-PBEsol, Alexandria).

E = -16.8 eV for the cell shown
uncorrected formation energy = 0.21 eV per atom

a = 3.8759 Å, b = 3.8759 Å, c = 4.0778 Å
α = 90.00°, β = 90.00°, γ = 120.00°
Positions (direct):
Si: 0.6667 0.3333 0.5000
Co: 0.0000 0.0000 0.5000
Pb: 0.3333 0.6667 0.0000



# TaHgTe4

A relaxed structure of TaHgTe4 (GGA-PBEsol, Alexandria).

E = -21.2 eV for the cell shown
uncorrected formation energy = 1.00 eV per atom

a = 6.1439 Å, b = 6.1439 Å, c = 6.1439 Å
α = 60.00°, β = 60.00°, γ = 60.00°
Positions (direct):
Te: 0.3745 0.3745 0.8766
Ta: 0.0000 0.0000 0.0000
Te: 0.8766 0.3745 0.3745
Te: 0.3745 0.3745 0.3745
Hg: 0.7500 0.7500 0.7500
Te: 0.3745 0.8766 0.3745



# LaRe2Te

A relaxed structure of LaRe2Te (GGA-PBEsol, Alexandria).

E = -31.8 eV for the cell shown
uncorrected formation energy = 0.94 eV per atom

a = 3.1373 Å, b = 3.1373 Å, c = 9.3497 Å
α = 80.34°, β = 80.34°, γ = 60.00°
Positions (direct):
Te: 0.5000 0.5000 0.5000
Re: 0.7610 0.7610 0.7171
Re: 0.2390 0.2390 0.2829
La: 0.0000 0.0000 0.0000



# SmZn3P3

A relaxed structure of SmZn3P3 (GGA-PBEsol, Alexandria).

E = -62.7 eV for the cell shown

a = 3.9743 Å, b = 3.9743 Å, c = 19.6036 Å
α = 90.00°, β = 90.00°, γ = 120.00°
Positions (direct):
P: 0.3333 0.6667 0.2500
P: 0.6667 0.3333 0.7500
Sm: 0.0000 0.0000 0.5000
Zn: 0.6667 0.3333 0.6283
Zn: 0.6667 0.3333 0.2500
Sm: 0.0000 0.0000 0.0000
Zn: 0.6667 0.3333 0.8717
Zn: 0.3333 0.6667 0.7500
Zn: 0.3333 0.6667 0.3717
P: 0.3333 0.6667 0.5868
P: 0.6667 0.3333 0.0868
P: 0.3333 0.6667 0.9132
Zn: 0.3333 0.6667 0.1283
P: 0.6667 0.3333 0.4132



# CrIn2As

A relaxed structure of CrIn2As (GGA-PBEsol, Alexandria).

E = -19.8 eV for the cell shown

a = 3.0633 Å, b = 3.0633 Å, c = 8.2077 Å
α = 90.00°, β = 90.00°, γ = 90.05°
Positions (direct):
In: 0.0000 0.0000 0.2201
Cr: 0.5000 0.5000 0.0000
In: 0.0000 0.0000 0.7799
As: 0.5000 0.5000 0.5000



# NiMo2Cl

A relaxed structure of NiMo2Cl (GGA-PBEsol, Alexandria).

E = -30.4 eV for the cell shown
uncorrected formation energy = 0.34 eV per atom

a = 3.1248 Å, b = 3.1248 Å, c = 5.9893 Å
α = 90.00°, β = 90.00°, γ = 90.00°
Positions (direct):
Mo: 0.0000 0.0000 0.0380
Cl: 0.5000 0.5000 0.7067
Ni: 0.0000 0.0000 0.4882
Mo: 0.5000 0.5000 0.2672



# BePdBr2

A relaxed structure of BePdBr2 (GGA-PBEsol, Alexandria).

E = -14.2 eV for the cell shown
uncorrected formation energy = -0.13 eV per atom

a = 3.3735 Å, b = 3.3735 Å, c = 7.8509 Å
α = 77.59°, β = 77.59°, γ = 60.00°
Positions (direct):
Be: 0.5000 0.5000 0.5000
Br: 0.8935 0.8935 0.3195
Pd: 0.0000 0.0000 0.0000
Br: 0.1065 0.1065 0.6805